Entry 1:
InSnIrO6 after structural relaxation. Source: the Alexandria database, functional PBE.

Output
raw total energy	-0.226	hartree per atom

The structure in extended XYZ format:
```
18
Lattice="5.346 0.000 0.000 -2.673 4.629 0.000 0.000 0.000 8.837" Properties=species:S:1:pos:R:3 pbc="T T T"
In 0.000 3.086 2.209
In 2.673 1.543 6.628
Sn 0.000 0.000 0.000
Sn 0.000 0.000 4.419
Ir 0.000 3.086 6.628
Ir 2.673 1.543 2.209
O -0.811 1.643 5.526
O -1.655 3.105 7.730
O 0.811 1.643 7.730
O -0.844 4.510 5.526
O 1.829 0.119 1.107
O 1.018 1.524 3.312
O 1.655 3.105 5.526
O 0.844 4.510 7.730
O 3.517 0.119 3.312
O 1.862 2.986 1.107
O 4.328 1.524 1.107
O 3.484 2.986 3.312
```

Entry 2:
Nd3HoCl after structural relaxation. Source: the Alexandria database, functional PBE.

Output
raw total energy	-0.170	hartree per atom

The structure in extended XYZ format:
```
5
Lattice="5.461 0.000 0.000 0.000 5.461 0.000 0.000 0.000 5.461" Properties=species:S:1:pos:R:3 pbc="T T T"
Nd 0.000 0.000 2.731
Nd 0.000 2.731 0.000
Nd 2.731 0.000 0.000
Ho 2.731 2.731 2.731
Cl 0.000 0.000 0.000
```

Entry 3:
AcNd2HfO6 after structural relaxation. Source: the Alexandria database, functional PBE.

Output
raw total energy	-0.310	hartree per atom

The structure in extended XYZ format:
```
10
Lattice="5.599 0.000 0.000 0.000 5.599 0.000 0.000 0.000 5.684" Properties=species:S:1:pos:R:3 pbc="T T T"
Ac 0.000 0.000 0.000
Nd 0.000 2.800 2.582
Nd 2.800 0.000 2.582
Hf 2.800 2.800 0.390
O 0.000 0.000 3.345
O 1.488 1.488 1.277
O 1.488 4.112 1.277
O 2.800 2.800 4.102
O 4.112 1.488 1.277
O 4.112 4.112 1.277
```

Entry 4:
Ca2PmPbO6 after structural relaxation. Source: the Alexandria database, functional PBE.

Output
raw total energy	-0.236	hartree per atom

The structure in extended XYZ format:
```
20
Lattice="5.888 0.000 0.000 0.000 6.110 0.000 -5.690 0.000 8.329" Properties=species:S:1:pos:R:3 pbc="T T T"
Ca -0.084 0.342 2.071
Ca -2.928 2.714 6.235
Ca 3.127 3.397 2.094
Ca 0.282 5.769 6.258
Pm 2.944 0.000 0.000
Pm 0.099 3.055 4.164
Pb -2.845 0.000 4.164
Pb 0.000 3.055 0.000
O -4.585 1.271 7.669
O -1.740 1.784 3.505
O -3.984 4.255 7.685
O -1.139 4.911 3.521
O -1.935 0.476 6.167
O 0.910 2.579 2.003
O -0.712 3.531 6.326
O 2.133 5.634 2.161
O 1.337 1.199 4.808
O 4.182 1.856 0.644
O 1.939 4.326 4.824
O 4.783 4.840 0.659
```